Entry 1:
The following is a DFT calculation (meta-GGA SCAN) of Li2RhSe at its PBEsol-relaxed geometry.

```
data_Li2RhSe
_chemical_formula_sum 'Li2 Rh1 Se1'
_space_group_name_H-M_alt 'P m m 2'
_space_group_IT_number 25
_cell_length_a 3.041
_cell_length_b 3.585
_cell_length_c 5.351
_cell_angle_alpha 90.00
_cell_angle_beta 90.00
_cell_angle_gamma 90.00
loop_
_space_group_symop_operation_xyz
'x,y,z'
'-x,-y,z'
'-x,y,z'
'x,-y,z'
loop_
_atom_site_label
_atom_site_type_symbol
_atom_site_fract_x
_atom_site_fract_y
_atom_site_fract_z
_atom_site_occupancy
Li1 Li 0.000 0.000 0.000 1
Li2 Li 0.500 0.500 0.260 1
Rh1 Rh 0.000 0.000 0.523 1
Se1 Se 0.500 0.500 0.722 1
```

crystal system = orthorhombic
density = 5.57 g cm⁻³
size of the total moment = 0.000 μB/atom
total energy = -60.08 eV per cell
formation energy (no corrections) = -0.3635 eV per atom

---

Entry 2:
The following is a DFT calculation (meta-GGA SCAN) of LiSn2Rh2 at its PBEsol-relaxed geometry.

```
data_LiSn2Rh2
_chemical_formula_sum 'Li2 Sn4 Rh4'
_space_group_name_H-M_alt 'P 4/m b m'
_space_group_IT_number 127
_space_group_name_Hall '-P 4 2ab'
_cell_length_a 7.612
_cell_length_b 7.612
_cell_length_c 2.996
_cell_angle_alpha 90.00
_cell_angle_beta 90.00
_cell_angle_gamma 90.00
loop_
_atom_site_label
_atom_site_type_symbol
_atom_site_fract_x
_atom_site_fract_y
_atom_site_fract_z
_atom_site_occupancy
Li1 Li 0.000 0.000 0.000 1
Sn1 Sn 0.154 0.346 0.000 1
Rh1 Rh 0.142 0.642 0.500 1
```

formation enthalpy at 0 K = -0.48 eV/atom
crystal system = tetragonal
density = 8.61 g cm⁻³
size of the total moment = 0.000 μB/atom
total energy = -288.38 eV per cell

---

Entry 3:
The following is a DFT calculation (meta-GGA SCAN) of LiSn5Rh3 at its PBEsol-relaxed geometry.

```
data_LiSn5Rh3
_chemical_formula_sum 'Li4 Sn20 Rh12'
_space_group_name_H-M_alt 'P b c m'
_space_group_IT_number 57
_cell_length_a 5.393
_cell_length_b 9.758
_cell_length_c 12.765
_cell_angle_alpha 90.00
_cell_angle_beta 90.00
_cell_angle_gamma 90.00
loop_
_space_group_symop_operation_xyz
'x,y,z'
'-x,-y,-z'
'-x,-y,z+1/2'
'x,y,-z+1/2'
'x,-y+1/2,-z'
'-x,y+1/2,z'
'-x,y+1/2,-z+1/2'
'x,-y+1/2,z+1/2'
loop_
_atom_site_label
_atom_site_type_symbol
_atom_site_fract_x
_atom_site_fract_y
_atom_site_fract_z
_atom_site_occupancy
Li1 Li 0.094 0.109 0.250 1
Sn1 Sn 0.126 0.674 0.613 1
Sn2 Sn 0.343 0.076 0.750 1
Sn3 Sn 0.366 0.127 0.063 1
Rh1 Rh 0.148 0.552 0.078 1
Rh2 Rh 0.404 0.694 0.250 1
```

formation enthalpy at 0 K = -0.49 eV/atom
crystal system = orthorhombic
density = 8.99 g cm⁻³
size of the total moment = 0.000 μB/atom
total energy = -1150.75 eV per cell

---

Entry 4:
The following is a DFT calculation (meta-GGA SCAN) of LiSn4Rh at its PBEsol-relaxed geometry.

```
data_LiSn4Rh
_chemical_formula_sum 'Li4 Sn16 Rh4'
_space_group_name_H-M_alt 'I 4/m c m'
_space_group_IT_number 140
_space_group_name_Hall '-I 4 2c'
_cell_length_a 6.580
_cell_length_b 6.580
_cell_length_c 11.365
_cell_angle_alpha 90.00
_cell_angle_beta 90.00
_cell_angle_gamma 90.00
loop_
_atom_site_label
_atom_site_type_symbol
_atom_site_fract_x
_atom_site_fract_y
_atom_site_fract_z
_atom_site_occupancy
Li1 Li 0.000 0.000 0.000 1
Sn1 Sn 0.160 0.340 0.136 1
Rh1 Rh 0.000 0.000 0.250 1
```

formation enthalpy at 0 K = -0.36 eV/atom
crystal system = tetragonal
density = 7.89 g cm⁻³
size of the total moment = 0.000 μB/atom
total energy = -727.92 eV per cell

---

Entry 5:
The following is a DFT calculation (meta-GGA SCAN) of SrLiRh2 at its PBEsol-relaxed geometry.

```
data_SrLiRh2
_chemical_formula_sum 'Sr3 Li3 Rh6'
_space_group_name_H-M_alt 'R 3 m'
_space_group_IT_number 160
_space_group_name_Hall 'R 3 -2"'
_cell_length_a 4.3099
_cell_length_b 4.3099
_cell_length_c 15.3112
_cell_angle_alpha 90.00
_cell_angle_beta 90.00
_cell_angle_gamma 120.00
loop_
_atom_site_label
_atom_site_type_symbol
_atom_site_fract_x
_atom_site_fract_y
_atom_site_fract_z
_atom_site_occupancy
Sr1 Sr 0.0000 0.0000 0.0000 1
Li1 Li 0.0000 0.0000 0.1962 1
Rh1 Rh 0.0000 0.0000 0.4740 1
Rh2 Rh 0.0000 0.0000 0.8019 1
```

formation enthalpy at 0 K = -0.22 eV/atom
crystal system = trigonal
density = 6.08 g cm⁻³
size of the total moment = 0.298 μB/atom
total energy = -279.21 eV per cell

---

Entry 6:
The following is a DFT calculation (meta-GGA SCAN) of SrLi2Rh at its PBEsol-relaxed geometry.

```
data_SrLi2Rh
_chemical_formula_sum 'Sr1 Li2 Rh1'
_space_group_name_H-M_alt 'P 4/m m m'
_space_group_IT_number 123
_space_group_name_Hall '-P 4 2'
_cell_length_a 4.182
_cell_length_b 4.182
_cell_length_c 4.544
_cell_angle_alpha 90.00
_cell_angle_beta 90.00
_cell_angle_gamma 90.00
loop_
_atom_site_label
_atom_site_type_symbol
_atom_site_fract_x
_atom_site_fract_y
_atom_site_fract_z
_atom_site_occupancy
Sr1 Sr 0.000 0.000 0.000 1
Li1 Li 0.000 0.500 0.500 1
Rh1 Rh 0.500 0.500 0.000 1
```

formation enthalpy at 0 K = 0.07 eV/atom
crystal system = tetragonal
density = 4.27 g cm⁻³
size of the total moment = 0.000 μB/atom
total energy = -60.55 eV per cell
offset from the most stable computed form = 178.7 meV per atom

---

Entry 7:
The following is a DFT calculation (meta-GGA SCAN) of SrLi2Rh at its PBEsol-relaxed geometry.

```
data_SrLi2Rh
_chemical_formula_sum 'Sr2 Li4 Rh2'
_space_group_name_H-M_alt 'C 1 2/m 1'
_space_group_IT_number 12
_cell_length_a 11.104
_cell_length_b 3.394
_cell_length_c 4.911
_cell_angle_alpha 90.00
_cell_angle_beta 115.53
_cell_angle_gamma 90.00
loop_
_space_group_symop_operation_xyz
'x,y,z'
'-x,-y,-z'
'-x,y,-z'
'x,-y,z'
'x+1/2,y+1/2,z'
'-x+1/2,-y+1/2,-z'
'-x+1/2,y+1/2,-z'
'x+1/2,-y+1/2,z'
loop_
_atom_site_label
_atom_site_type_symbol
_atom_site_fract_x
_atom_site_fract_y
_atom_site_fract_z
_atom_site_occupancy
Sr1 Sr 0.000 0.000 0.000 1
Li1 Li 0.202 0.000 0.699 1
Rh1 Rh 0.000 0.500 0.500 1
```

formation enthalpy at 0 K = -0.06 eV/atom
crystal system = monoclinic
density = 4.06 g cm⁻³
size of the total moment = 0.000 μB/atom
total energy = -122.12 eV per cell
offset from the most stable computed form = 50.9 meV per atom

---

Entry 8:
The following is a DFT calculation (meta-GGA SCAN) of SrLi2Rh at its PBEsol-relaxed geometry.

```
data_SrLi2Rh
_chemical_formula_sum 'Sr3 Li6 Rh3'
_space_group_name_H-M_alt 'R 3 m'
_space_group_IT_number 160
_space_group_name_Hall 'R 3 -2"'
_cell_length_a 4.3537
_cell_length_b 4.3537
_cell_length_c 15.3757
_cell_angle_alpha 90.00
_cell_angle_beta 90.00
_cell_angle_gamma 120.00
loop_
_atom_site_label
_atom_site_type_symbol
_atom_site_fract_x
_atom_site_fract_y
_atom_site_fract_z
_atom_site_occupancy
Sr1 Sr 0.0000 0.0000 0.0000 1
Li1 Li 0.0000 0.0000 0.1913 1
Li2 Li 0.0000 0.0000 0.4852 1
Rh1 Rh 0.0000 0.0000 0.7950 1
```

formation enthalpy at 0 K = -0.11 eV/atom
crystal system = trigonal
density = 4.03 g cm⁻³
size of the total moment = 0.001 μB/atom
total energy = -183.79 eV per cell
offset from the most stable computed form = 0.0 meV per atom

---

Entry 9:
The following is a DFT calculation (meta-GGA SCAN) of SrLiRh2 at its PBEsol-relaxed geometry.

```
data_SrLiRh2
_chemical_formula_sum 'Sr1 Li1 Rh2'
_space_group_name_H-M_alt 'P 1 m 1'
_space_group_IT_number 6
_cell_length_a 2.944
_cell_length_b 4.381
_cell_length_c 5.501
_cell_angle_alpha 90.00
_cell_angle_beta 100.07
_cell_angle_gamma 90.00
loop_
_space_group_symop_operation_xyz
'x,y,z'
'x,-y,z'
loop_
_atom_site_label
_atom_site_type_symbol
_atom_site_fract_x
_atom_site_fract_y
_atom_site_fract_z
_atom_site_occupancy
Sr1 Sr 0.000 0.000 0.000 1
Li1 Li 0.585 0.500 0.276 1
Rh1 Rh 0.208 0.500 0.640 1
Rh2 Rh 0.636 0.000 0.514 1
```

formation enthalpy at 0 K = 0.08 eV/atom
crystal system = monoclinic
density = 7.14 g cm⁻³
size of the total moment = 0.000 μB/atom
total energy = -91.89 eV per cell

---

Entry 10:
The following is a DFT calculation (meta-GGA SCAN) of SrLi3Rh at its PBEsol-relaxed geometry.

```
data_SrLi3Rh
_chemical_formula_sum 'Sr1 Li3 Rh1'
_space_group_name_H-M_alt 'P m -3 m'
_space_group_IT_number 221
_space_group_name_Hall '-P 4 2 3'
_cell_length_a 4.778
_cell_length_b 4.778
_cell_length_c 4.778
_cell_angle_alpha 90.00
_cell_angle_beta 90.00
_cell_angle_gamma 90.00
loop_
_atom_site_label
_atom_site_type_symbol
_atom_site_fract_x
_atom_site_fract_y
_atom_site_fract_z
_atom_site_occupancy
Sr1 Sr 0.000 0.000 0.000 1
Li1 Li 0.000 0.500 0.500 1
Rh1 Rh 0.500 0.500 0.500 1
```

formation enthalpy at 0 K = 0.00 eV/atom
crystal system = cubic
density = 3.22 g cm⁻³
size of the total moment = 0.000 μB/atom
total energy = -63.20 eV per cell

---

Entry 11:
The following is a DFT calculation (meta-GGA SCAN) of SrLiRh2 at its PBEsol-relaxed geometry.

```
data_SrLiRh2
_chemical_formula_sum 'Sr3 Li3 Rh6'
_space_group_name_H-M_alt 'R -3 m'
_space_group_IT_number 166
_space_group_name_Hall '-R 3 2"'
_cell_length_a 2.9825
_cell_length_b 2.9825
_cell_length_c 26.1495
_cell_angle_alpha 90.00
_cell_angle_beta 90.00
_cell_angle_gamma 120.00
loop_
_atom_site_label
_atom_site_type_symbol
_atom_site_fract_x
_atom_site_fract_y
_atom_site_fract_z
_atom_site_occupancy
Sr1 Sr 0.0000 0.0000 0.0000 1
Li1 Li 0.0000 0.0000 0.5000 1
Rh1 Rh 0.0000 0.0000 0.2428 1
```

formation enthalpy at 0 K = 0.33 eV/atom
crystal system = trigonal
density = 7.43 g cm⁻³
size of the total moment = 0.000 μB/atom
total energy = -272.71 eV per cell

---

Entry 12:
The following is a DFT calculation (meta-GGA SCAN) of SrLi2Rh at its PBEsol-relaxed geometry.

```
data_SrLi2Rh
_chemical_formula_sum 'Sr1 Li2 Rh1'
_space_group_name_H-M_alt 'P 1 m 1'
_space_group_IT_number 6
_cell_length_a 3.551
_cell_length_b 4.126
_cell_length_c 6.349
_cell_angle_alpha 90.00
_cell_angle_beta 105.82
_cell_angle_gamma 90.00
loop_
_space_group_symop_operation_xyz
'x,y,z'
'x,-y,z'
loop_
_atom_site_label
_atom_site_type_symbol
_atom_site_fract_x
_atom_site_fract_y
_atom_site_fract_z
_atom_site_occupancy
Sr1 Sr 0.000 0.000 0.000 1
Li1 Li 0.289 0.000 0.566 1
Li2 Li 0.744 0.500 0.477 1
Rh1 Rh 0.396 0.500 0.788 1
```

formation enthalpy at 0 K = -0.05 eV/atom
crystal system = monoclinic
density = 3.79 g cm⁻³
size of the total moment = 0.006 μB/atom
total energy = -61.01 eV per cell
offset from the most stable computed form = 63.1 meV per atom

---

Entry 13:
The following is a DFT calculation (meta-GGA SCAN) of Sr2LiRhW at its PBEsol-relaxed geometry.

```
data_Sr2LiRhW
_chemical_formula_sum 'Sr2 Li1 Rh1 W1'
_space_group_name_H-M_alt 'P 4/m m m'
_space_group_IT_number 123
_space_group_name_Hall '-P 4 2'
_cell_length_a 5.815
_cell_length_b 5.815
_cell_length_c 4.717
_cell_angle_alpha 90.00
_cell_angle_beta 90.00
_cell_angle_gamma 90.00
loop_
_atom_site_label
_atom_site_type_symbol
_atom_site_fract_x
_atom_site_fract_y
_atom_site_fract_z
_atom_site_occupancy
Sr1 Sr 0.000 0.500 0.000 1
Li1 Li 0.000 0.000 0.500 1
Rh1 Rh 0.500 0.500 0.000 1
W1 W 0.500 0.500 0.500 1
```

formation enthalpy at 0 K = 0.60 eV/atom
crystal system = tetragonal
density = 4.88 g cm⁻³
size of the total moment = 0.470 μB/atom
total energy = -147.40 eV per cell

---

Entry 14:
The following is a DFT calculation (meta-GGA SCAN) of Li2TaRh at its PBEsol-relaxed geometry.

```
data_Li2TaRh
_chemical_formula_sum 'Li2 Ta1 Rh1'
_space_group_name_H-M_alt 'P 1 2/m 1'
_space_group_IT_number 10
_cell_length_a 2.752
_cell_length_b 4.817
_cell_length_c 4.535
_cell_angle_alpha 90.00
_cell_angle_beta 92.65
_cell_angle_gamma 90.00
loop_
_space_group_symop_operation_xyz
'x,y,z'
'-x,-y,-z'
'-x,y,-z'
'x,-y,z'
loop_
_atom_site_label
_atom_site_type_symbol
_atom_site_fract_x
_atom_site_fract_y
_atom_site_fract_z
_atom_site_occupancy
Li1 Li 0.200 0.000 0.267 1
Ta1 Ta 0.500 0.500 0.000 1
Rh1 Rh 0.000 0.500 0.500 1
```

formation enthalpy at 0 K = -0.02 eV/atom
crystal system = monoclinic
density = 8.23 g cm⁻³
size of the total moment = 0.000 μB/atom
total energy = -105.23 eV per cell
offset from the most stable computed form = 0.0 meV per atom